1.
CdBiPt2 GGA-PBE relaxed; N(E_F) = 0.396 states/eV per atom; E = -4.372 eV/atom; space-group type = P4/mmm, No. 123
1.0
3.408 0.000 0.000
0.000 3.408 0.000
0.000 0.000 6.795
Cd Bi Pt
1 1 2
direct
0.000 0.000 0.000
0.000 0.000 0.500
0.500 0.500 0.229
0.500 0.500 0.771

=====

2.
TbHoMgIn GGA-PBE relaxed; N(E_F) = 0.666 states/eV per atom; E = -3.706 eV/atom; space-group type = F-43m, No. 216
1.0
0.000 3.755 3.755
3.755 0.000 3.755
3.755 3.755 0.000
Tb Ho Mg In
1 1 1 1
direct
0.000 0.000 0.000
0.500 0.500 0.500
0.250 0.250 0.250
0.750 0.750 0.750

=====

3.
KBe2Hg GGA-PBE relaxed; N(E_F) = 0.340 states/eV per atom; E = -2.007 eV/atom; space-group type = R-3m, No. 166
1.0
2.093 1.208 6.092
-2.093 1.208 6.092
0.000 -2.417 6.092
K Be Hg
1 2 1
direct
0.000 0.000 0.000
0.172 0.172 0.172
0.828 0.828 0.828
0.500 0.500 0.500

=====

4.
CuB3F GGA-PBE relaxed; N(E_F) = 0.597 states/eV per atom; E = -3.231 eV/atom; ΔE to the lowest computed polymorph = 757.9 meV per atom; space-group type = Pm-3m, No. 221; formation energy (no corrections) = 1.9691 eV/atom
1.0
3.779 0.000 0.000
0.000 3.779 0.000
0.000 0.000 3.779
Cu B F
1 3 1
direct
0.000 0.000 0.000
0.000 0.500 0.500
0.500 0.000 0.500
0.500 0.500 0.000
0.500 0.500 0.500